First-principles (PBE) data for UHgPd4 after structural relaxation, as listed in the Alexandria database.

a = 5.3762 Å, b = 5.3762 Å, c = 5.3762 Å
α = 60.00°, β = 60.00°, γ = 60.00°
With the nearest neighbours (Å) after each atom.
Atoms (fractional coordinates):
U  0.0000  0.0000  0.0000  12 Pd 3.15, 4 Hg 3.29
Hg  0.7500  0.7500  0.7500  12 Pd 3.15, 4 U 3.29
Pd  0.3754  0.3754  0.3754  6 Pd 2.68-2.70
Pd  0.3754  0.3754  0.8739  6 Pd 2.68-2.70
Pd  0.3754  0.8739  0.3754  6 Pd 2.68-2.70
Pd  0.8739  0.3754  0.3754  6 Pd 2.68-2.70

Space group: F-43m
E (eV/atom): -5.731
DFT formation energy (eV/atom): -0.34